## Pm3NdEr (PBE)

Data for a geometry-optimized Pm3NdEr structure.

Cell: 3.6485 11.7956 8.6526 Å, 90.00 101.10 90.00°
Element x y z (fractional)
Pm  0.1626  0.2500  0.3705
Pm  0.3334  0.0022  0.6972
Pm  0.3334  0.4978  0.6972
Pm  0.6666  0.5022  0.3028
Pm  0.6666  0.9978  0.3028
Pm  0.8374  0.7500  0.6295
Nd  0.4242  0.2500  0.0226
Nd  0.5758  0.7500  0.9774
Er  0.1894  0.7500  0.3099
Er  0.8106  0.2500  0.6901

ΔE_f   6.44 kcal/mol of atoms
Energy relative to the lowest polymorph listed for this composition   119.5 meV/atom
Total moment   0.00 μB per cell
SG   P2_1/m (11)
V   365.4 Å³/cell
Final energy   -4.437 eV/atom
DOS at the Fermi energy   8.53 states/eV/f.u.